Record 1
Computed, not measured: a relaxed SrPH3 crystal at the PBE level of DFT.

The calculation puts the total energy at -0.195 Ry per atom. The relative energy among the computed polymorphs comes out at 16.15 kcal/mol of atoms. The magnetization comes out at 0.92 μB per formula unit. The crystal system is cubic. The space group is No. 221. Its density of states at the Fermi level is 0.49 states/eV per atom.

Lattice parameters (Å, degrees): 4.283 4.283 4.283 90.00 90.00 90.00
Fractional positions:
Sr  0.000  0.000  0.000
H  0.500  0.000  0.000
H  0.000  0.500  0.000
H  0.000  0.000  0.500
P  0.500  0.500  0.500

=====

Record 2
Computed, not measured: a relaxed TaVTc3 crystal at the PBE level of DFT.

The calculation puts the total energy at -0.635 Ry per atom. The formation enthalpy at 0 K comes out at 1.77 eV/atom. The relative energy among the computed polymorphs comes out at 19.66 kcal/mol of atoms. The magnetization comes out at 0.15 μB per formula unit. The crystal system is cubic. The space group is No. 221. Its density of states at the Fermi level is 1.65 states/eV per atom.

Lattice parameters (Å, degrees): 4.691 4.691 4.691 90.00 90.00 90.00
Fractional positions:
Ta  0.000  0.000  0.000
V  0.500  0.500  0.500
Tc  0.000  0.000  0.500
Tc  0.000  0.500  0.000
Tc  0.500  0.000  0.000

=====

Record 3
Computed, not measured: a relaxed BaNaLiAs2 crystal at the PBE level of DFT.

The calculation puts the total energy at -0.229 Ry per atom. The formation enthalpy at 0 K comes out at -0.23 eV/atom. The magnetization comes out at 0.00 μB per formula unit. The crystal system is tetragonal. The space group is No. 123. Its density of states at the Fermi level is 0.31 states/eV per atom.

Lattice parameters (Å, degrees): 5.006 5.175 5.006 90.00 90.00 90.00
Fractional positions:
As  0.000  0.000  0.500
As  0.500  0.000  0.000
Ba  0.000  0.500  0.000
Na  0.500  0.500  0.500
Li  0.000  0.000  0.000

=====

Record 4
Computed, not measured: a relaxed TlAuC2 crystal at the PBE level of DFT.

The calculation puts the total energy at -0.260 Ry per atom. The formation enthalpy at 0 K comes out at 2.48 eV/atom. The relative energy among the computed polymorphs comes out at 12.89 kcal/mol of atoms. The magnetization comes out at 0.00 μB per formula unit. The crystal system is cubic. The space group is No. 225. Its density of states at the Fermi level is 0.16 states/eV per atom.

Lattice parameters (Å, degrees): 4.332 4.332 4.332 60.00 60.00 60.00
Fractional positions:
C  0.250  0.250  0.250
C  0.750  0.750  0.750
Tl  0.500  0.500  0.500
Au  0.000  0.000  0.000

=====

Record 5
Computed, not measured: a relaxed SmEr3Tm3 crystal at the PBE level of DFT.

The calculation puts the total energy at -0.334 Ry per atom. The formation enthalpy at 0 K comes out at 0.01 eV/atom. The relative energy among the computed polymorphs comes out at 0.00 kcal/mol of atoms. The magnetization comes out at 0.01 μB per formula unit. The crystal system is hexagonal. The space group is No. 176. Its density of states at the Fermi level is 1.98 states/eV per atom.

Lattice parameters (Å, degrees): 5.589 9.481 9.480 120.01 90.00 90.00
Fractional positions:
Tm  0.250  0.096  0.477
Tm  0.750  0.619  0.096
Tm  0.250  0.381  0.904
Tm  0.750  0.904  0.523
Tm  0.750  0.477  0.381
Tm  0.250  0.523  0.619
Er  0.250  0.811  0.048
Er  0.250  0.952  0.763
Er  0.750  0.763  0.811
Er  0.750  0.189  0.952
Er  0.250  0.237  0.189
Er  0.750  0.048  0.237
Sm  0.750  0.333  0.667
Sm  0.250  0.667  0.333

=====

Record 6
Computed, not measured: a relaxed RbCoPt3 crystal at the PBE level of DFT.

The calculation puts the total energy at -0.193 Ry per atom. The formation enthalpy at 0 K comes out at 2.62 eV/atom. The relative energy among the computed polymorphs comes out at 45.71 kcal/mol of atoms. The magnetization comes out at 2.04 μB per formula unit. The crystal system is cubic. The space group is No. 221. Its density of states at the Fermi level is 2.62 states/eV per atom.

Lattice parameters (Å, degrees): 5.050 5.050 5.050 90.00 90.00 90.00
Fractional positions:
Co  0.500  0.500  0.500
Rb  0.000  0.000  0.000
Pt  0.000  0.500  0.000
Pt  0.000  0.000  0.500
Pt  0.500  0.000  0.000

=====

Record 7
Computed, not measured: a relaxed NiOs crystal at the PBE level of DFT.

The calculation puts the total energy at -0.620 Ry per atom. The formation enthalpy at 0 K comes out at 0.07 eV/atom. The magnetization comes out at 0.00 μB per formula unit. The crystal system is orthorhombic. The space group is No. 62. Its density of states at the Fermi level is 0.85 states/eV per atom.

Lattice parameters (Å, degrees): 4.594 4.225 5.206 90.00 90.00 90.00
Fractional positions:
Os  0.084  0.250  0.625
Os  0.584  0.250  0.875
Os  0.416  0.750  0.125
Os  0.916  0.750  0.375
Ni  0.411  0.750  0.621
Ni  0.589  0.250  0.379
Ni  0.089  0.250  0.121
Ni  0.911  0.750  0.879

=====

Record 8
Computed, not measured: a relaxed Th3GaP2Rh8 crystal at the PBE level of DFT.

The calculation puts the total energy at -0.557 Ry per atom. The formation enthalpy at 0 K comes out at -0.81 eV/atom. The magnetization comes out at 0.00 μB per formula unit. The crystal system is trigonal. The space group is No. 164. Its density of states at the Fermi level is 0.48 states/eV per atom.

Lattice parameters (Å, degrees): 5.498 5.498 9.447 90.00 90.00 120.00
Fractional positions:
Rh  0.166  0.332  0.277
Rh  0.333  0.667  0.859
Rh  0.166  0.834  0.277
Rh  0.668  0.834  0.277
Rh  0.332  0.166  0.723
Rh  0.667  0.333  0.141
Rh  0.834  0.166  0.723
Rh  0.834  0.668  0.723
Th  0.333  0.667  0.573
Th  0.000  0.000  0.000
Th  0.667  0.333  0.427
Ga  0.000  0.000  0.500
P  0.333  0.667  0.100
P  0.667  0.333  0.900

=====

Record 9
Computed, not measured: a relaxed Tb3Ho6Tm crystal at the PBE level of DFT.

The calculation puts the total energy at -0.328 Ry per atom. The formation enthalpy at 0 K comes out at 0.12 eV/atom. The relative energy among the computed polymorphs comes out at 0.00 kcal/mol of atoms. The magnetization comes out at 0.00 μB per formula unit. The crystal system is orthorhombic. The space group is No. 36. Its density of states at the Fermi level is 1.59 states/eV per atom.

Lattice parameters (Å, degrees): 6.315 11.460 11.460 130.90 90.00 90.00
Fractional positions:
Ho  0.290  0.699  0.301
Ho  0.829  0.543  0.105
Ho  0.066  0.378  0.256
Ho  0.329  0.457  0.895
Ho  0.329  0.105  0.543
Ho  0.790  0.301  0.699
Ho  0.319  0.985  0.015
Ho  0.819  0.015  0.985
Ho  0.566  0.622  0.744
Ho  0.566  0.256  0.378
Ho  0.829  0.895  0.457
Ho  0.066  0.744  0.622
Tb  0.989  0.704  0.959
Tb  0.489  0.959  0.704
Tb  0.489  0.296  0.041
Tb  0.092  0.421  0.579
Tb  0.989  0.041  0.296
Tb  0.592  0.579  0.421
Tm  0.517  0.839  0.161
Tm  0.017  0.161  0.839

=====

Record 10
Computed, not measured: a relaxed AcTm2Be crystal at the PBE level of DFT.

The calculation puts the total energy at -0.251 Ry per atom. The formation enthalpy at 0 K comes out at 0.79 eV/atom. The relative energy among the computed polymorphs comes out at 15.42 kcal/mol of atoms. The magnetization comes out at 0.00 μB per formula unit. The crystal system is trigonal. The space group is No. 166. Its density of states at the Fermi level is 0.90 states/eV per atom.

Lattice parameters (Å, degrees): 3.575 3.575 11.661 81.18 81.18 60.00
Fractional positions:
Tm  0.082  0.082  0.754
Tm  0.918  0.918  0.246
Be  0.000  0.000  0.000
Ac  0.500  0.500  0.500

=====

Record 11
Computed, not measured: a relaxed Ba2CoPdN crystal at the PBE level of DFT.

The calculation puts the total energy at -0.389 Ry per atom. The magnetization comes out at 0.46 μB per formula unit. The formation energy (no corrections) comes out at -0.393 eV per atom. The crystal system is tetragonal. The space group is No. 123. Its density of states at the Fermi level is 0.55 states/eV per atom.

Lattice parameters (Å, degrees): 5.787 5.787 3.542 90.00 90.00 90.00
Fractional positions:
Co  0.000  0.000  0.500
Ba  0.000  0.500  0.000
Ba  0.500  0.000  0.000
N  0.000  0.000  0.000
Pd  0.500  0.500  0.500

=====

Record 12
Computed, not measured: a relaxed CrNiAs crystal at the PBE level of DFT.

The calculation puts the total energy at -0.485 Ry per atom. The formation enthalpy at 0 K comes out at 0.09 eV/atom. The magnetization comes out at 3.31 μB per formula unit. The crystal system is tetragonal. The space group is No. 107. Its density of states at the Fermi level is 1.09 states/eV per atom.

Lattice parameters (Å, degrees): 4.392 4.392 4.392 135.11 135.11 65.35
Fractional positions:
Cr  0.330  0.330  0.000
Ni  0.673  0.673  0.000
As  0.997  0.997  0.000